Computed, not measured: crystalline La3ErIr8 at its relaxed geometry at the PBE-GGA level of DFT.

Cell lengths 5.4433, 5.4433, 9.4194 Å; angles 73.19, 73.19, 59.96 degrees
Closest atoms and distances in Å follow each position.
Atoms (fractional coordinates):
Ir: 0.4364 0.9352 0.1917  6 Ir 2.69-2.75
Ir: 0.4404 0.9383 0.6832  6 Ir 2.70-2.75
Ir: 0.6875 0.6875 0.9374  6 Ir 2.75
Er: 0.8748 0.8748 0.3755  12 Ir 3.15-3.19, 4 La 3.33
Ir: 0.9383 0.4404 0.6832  6 Ir 2.70-2.75
La: 0.3751 0.3751 0.8749  12 Ir 3.19-3.22, 4 La 3.33-3.34
Ir: 0.1878 0.1878 0.4367  6 Ir 2.69-2.70
Ir: 0.9381 0.9381 0.6833  6 Ir 2.70-2.75
La: 0.5000 0.5000 0.5000  12 Ir 3.15-3.19, 1 La 3.33, 3 Er 3.33
Ir: 0.9352 0.4364 0.1917  6 Ir 2.69-2.75
La: 0.9998 0.9998 0.0005  12 Ir 3.19-3.23, 1 Er 3.33, 3 La 3.33-3.34
Ir: 0.4366 0.4366 0.1917  6 Ir 2.69-2.75

Uncorrected energy in eV/cell: -99.1
Space group: No. 160
D(E_F) in states/eV/f.u.: 9.173